[1]
# Nd2YTmS4

A geometry-optimized Nd2YTmS4 structure (GGA-PBE, the Alexandria database).

The formation energy from raw total energies comes out at -2.0007 eV/atom.

a b c (Å): 6.8264 3.9138 7.0273
angles (deg): 90.00 108.67 90.00
Closest atoms and distances in Å follow each position.
Positions (direct):
Nd (0.0000, 0.0000, 0.0000)  6 S 2.90
Nd (0.5000, 0.5000, 0.0000)  6 S 2.87
Y (0.0000, 0.5000, 0.5000)  6 S 2.75-2.76
Tm (0.5000, 0.0000, 0.5000)  6 S 2.72-2.73
S (0.2474, 0.0000, 0.7323)  1 Tm 2.73, 2 Y 2.75, 3 Nd 2.87-2.90
S (0.2605, 0.5000, 0.2701)  2 Tm 2.72, 1 Y 2.76, 3 Nd 2.87-2.90
S (0.7395, 0.5000, 0.7299)  2 Tm 2.72, 1 Y 2.76, 3 Nd 2.87-2.90
S (0.7526, 0.0000, 0.2677)  1 Tm 2.73, 2 Y 2.75, 3 Nd 2.87-2.90

***

[2]
# Ba3Ge4C2

A geometry-optimized Ba3Ge4C2 structure (GGA-PBE, the Alexandria database).

The formation enthalpy at 0 K is -0.3387 eV per atom.

a b c (Å): 8.9118 8.9118 8.9118
angles (deg): 120.47 118.76 90.67
Closest atoms and distances in Å follow each position.
Positions (direct):
Ba (0.1644, 0.6928, 0.8573)  3 C 2.86-3.19
Ba (0.2500, 0.2500, 0.0000)  4 C 3.20
Ba (0.3356, 0.1928, 0.5284)  3 C 2.86-3.19
Ba (0.6644, 0.8072, 0.4716)  3 C 2.86-3.19
Ba (0.7500, 0.7500, 0.0000)  4 C 3.20
Ba (0.8356, 0.3072, 0.1427)  3 C 2.86-3.19
Ge (0.0760, 0.7874, 0.5001)  3 Ge 2.54-2.68
Ge (0.2127, 0.7126, 0.2886)  3 Ge 2.54-2.68
Ge (0.2873, 0.5759, 0.4999)  3 Ge 2.54-2.68
Ge (0.4240, 0.9241, 0.7114)  3 Ge 2.54-2.68
Ge (0.5760, 0.0759, 0.2886)  3 Ge 2.54-2.68
Ge (0.7127, 0.4241, 0.5001)  3 Ge 2.54-2.68
Ge (0.7873, 0.2874, 0.7114)  3 Ge 2.54-2.68
Ge (0.9240, 0.2126, 0.4999)  3 Ge 2.54-2.68
C (0.0623, 0.0321, 0.0944)  1 C 1.27
C (0.4377, 0.5321, 0.9697)  1 C 1.27
C (0.5623, 0.4679, 0.0303)  1 C 1.27
C (0.9377, 0.9679, 0.9056)  1 C 1.27

***

[3]
# La3Pr2Y8

A geometry-optimized La3Pr2Y8 structure (GGA-PBE, the Alexandria database).

The formation enthalpy at 0 K is 0.0219 eV per atom.

a b c (Å): 6.3092 8.1283 9.5990
angles (deg): 75.42 70.85 74.81
Closest atoms and distances in Å follow each position.
Positions (direct):
La (0.0000, 0.0000, 0.0000)  4 La 3.61-3.64, 8 Y 3.64-3.66
La (0.4634, 0.2280, 0.9249)  3 La 3.59-3.64, 8 Y 3.63-3.67, 1 Pr 3.66
La (0.5366, 0.7720, 0.0751)  3 La 3.59-3.64, 8 Y 3.63-3.67, 1 Pr 3.66
Pr (0.2312, 0.6157, 0.4628)  9 Y 3.59-3.65, 2 Pr 3.62-3.66, 1 La 3.66
Pr (0.7688, 0.3843, 0.5372)  9 Y 3.59-3.65, 2 Pr 3.62-3.66, 1 La 3.66
Y (0.0755, 0.5358, 0.1550)  2 Pr 3.61-3.65, 6 Y 3.61-3.67, 4 La 3.63-3.67
Y (0.1539, 0.0777, 0.3109)  7 Y 3.59-3.65, 2 Pr 3.59-3.64, 3 La 3.64-3.66
Y (0.3076, 0.1526, 0.6145)  7 Y 3.59-3.65, 2 La 3.64-3.66, 3 Pr 3.64-3.65
Y (0.3853, 0.6928, 0.7666)  2 Pr 3.60-3.62, 7 Y 3.61-3.67, 3 La 3.64-3.67
Y (0.6147, 0.3072, 0.2334)  2 Pr 3.60-3.62, 7 Y 3.61-3.67, 3 La 3.64-3.67
Y (0.6924, 0.8474, 0.3855)  7 Y 3.59-3.65, 2 La 3.64-3.66, 3 Pr 3.64-3.65
Y (0.8461, 0.9223, 0.6891)  7 Y 3.59-3.65, 2 Pr 3.59-3.64, 3 La 3.64-3.66
Y (0.9245, 0.4642, 0.8450)  2 Pr 3.61-3.65, 6 Y 3.61-3.67, 4 La 3.63-3.67